1.
# K2HfInCl8 (PBE-GGA, optimized geometry)
data_K2HfInCl8
_chemical_formula_sum 'K2 Hf1 In1 Cl8'
_cell_length_a 6.612
_cell_length_b 8.498
_cell_length_c 7.009
_cell_angle_alpha 90.00
_cell_angle_beta 92.87
_cell_angle_gamma 90.00
_symmetry_space_group_name_H-M 'P 1 2/m 1'
_symmetry_Int_Tables_number 10
loop_
_symmetry_equiv_pos_as_xyz
'x,y,z'
'-x,-y,-z'
'-x,y,-z'
'x,-y,z'
loop_
_atom_site_label
_atom_site_type_symbol
_atom_site_fract_x
_atom_site_fract_y
_atom_site_fract_z
K1 K 0.000 0.246 0.000
Hf1 Hf 0.500 0.000 0.500
In1 In 0.500 0.500 0.500
Cl1 Cl 0.265 0.500 0.193
Cl2 Cl 0.289 0.213 0.628
Cl3 Cl 0.291 0.000 0.202
# E_tot (eV/atom): -4.104


2.
# KHfInCl6 (PBE-GGA, optimized geometry)
data_KHfInCl6
_chemical_formula_sum 'K2 Hf2 In2 Cl12'
_cell_length_a 7.5711
_cell_length_b 7.5711
_cell_length_c 12.3255
_cell_angle_alpha 90.00
_cell_angle_beta 90.00
_cell_angle_gamma 120.00
_symmetry_space_group_name_H-M 'P -3 1 c'
_symmetry_Int_Tables_number 163
_symmetry_space_group_name_Hall '-P 3 2c'
loop_
_atom_site_label
_atom_site_type_symbol
_atom_site_fract_x
_atom_site_fract_y
_atom_site_fract_z
K1 K 0.3333 0.6667 0.2500
Hf1 Hf 0.3333 0.6667 0.7500
In1 In 0.0000 0.0000 0.0000
Cl1 Cl 0.0674 0.4002 0.6343
# E_tot (eV/atom): -4.452


3.
# LiHfInCl6 (PBE-GGA, optimized geometry)
data_LiHfInCl6
_chemical_formula_sum 'Li2 Hf2 In2 Cl12'
_cell_length_a 6.6388
_cell_length_b 6.6388
_cell_length_c 13.9357
_cell_angle_alpha 90.00
_cell_angle_beta 90.00
_cell_angle_gamma 120.00
_symmetry_space_group_name_H-M 'P -3 1 c'
_symmetry_Int_Tables_number 163
_symmetry_space_group_name_Hall '-P 3 2c'
loop_
_atom_site_label
_atom_site_type_symbol
_atom_site_fract_x
_atom_site_fract_y
_atom_site_fract_z
Li1 Li 0.3333 0.6667 0.2500
Hf1 Hf 0.3333 0.6667 0.7500
In1 In 0.0000 0.0000 0.0000
Cl1 Cl 0.0153 0.3806 0.6477
# E_tot (eV/atom): -4.494


4.
# HfMnInCl2 (PBE-GGA, optimized geometry)
data_HfMnInCl2
_chemical_formula_sum 'Hf1 Mn1 In1 Cl2'
_cell_length_a 6.019
_cell_length_b 6.019
_cell_length_c 6.772
_cell_angle_alpha 90.00
_cell_angle_beta 90.00
_cell_angle_gamma 90.00
_symmetry_space_group_name_H-M 'P 4/m m m'
_symmetry_Int_Tables_number 123
_symmetry_space_group_name_Hall '-P 4 2'
loop_
_atom_site_label
_atom_site_type_symbol
_atom_site_fract_x
_atom_site_fract_y
_atom_site_fract_z
Hf1 Hf 0.000 0.000 0.000
Mn1 Mn 0.500 0.500 0.000
In1 In 0.000 0.000 0.500
Cl1 Cl 0.000 0.500 0.500
# E_tot (eV/atom): -4.034


5.
# Hf2InMoCl (PBE-GGA, optimized geometry)
data_Hf2InMoCl
_chemical_formula_sum 'Hf2 In1 Mo1 Cl1'
_cell_length_a 4.623
_cell_length_b 4.623
_cell_length_c 5.106
_cell_angle_alpha 90.00
_cell_angle_beta 90.00
_cell_angle_gamma 90.00
_symmetry_space_group_name_H-M 'P 4/m m m'
_symmetry_Int_Tables_number 123
_symmetry_space_group_name_Hall '-P 4 2'
loop_
_atom_site_label
_atom_site_type_symbol
_atom_site_fract_x
_atom_site_fract_y
_atom_site_fract_z
Hf1 Hf 0.000 0.500 0.000
In1 In 0.000 0.000 0.500
Mo1 Mo 0.500 0.500 0.500
Cl1 Cl 0.000 0.000 0.000
# E_tot (eV/atom): -6.352


6.
# Na2HfInCl (PBE-GGA, optimized geometry)
data_Na2HfInCl
_chemical_formula_sum 'Na2 Hf1 In1 Cl1'
_cell_length_a 4.851
_cell_length_b 4.851
_cell_length_c 5.165
_cell_angle_alpha 90.00
_cell_angle_beta 90.00
_cell_angle_gamma 90.00
_symmetry_space_group_name_H-M 'P 4/m m m'
_symmetry_Int_Tables_number 123
_symmetry_space_group_name_Hall '-P 4 2'
loop_
_atom_site_label
_atom_site_type_symbol
_atom_site_fract_x
_atom_site_fract_y
_atom_site_fract_z
Na1 Na 0.000 0.500 0.000
Hf1 Hf 0.000 0.000 0.500
In1 In 0.500 0.500 0.500
Cl1 Cl 0.000 0.000 0.000
# E_tot (eV/atom): -3.493